Entry 1:
A relaxed structure of CrSnRhAu, computed with GGA-PBE.

Structure (POSCAR):
```
CrSnRhAu
1.0
-4.0870 0.4962 -1.9745
-2.0057 -3.5675 -2.0245
-3.6928 -1.9145 1.8832
Au Sn Cr Rh
1 1 1 1
Cartesian
-7.3392 -3.7393 -1.5869
-2.4464 -1.2464 -0.5290
-4.8928 -2.4929 -1.0579
0.0000 0.0000 0.0000
```

## Properties
DFT formation energy   -3.6 kJ per mole of atoms
Space group   F-43m, No. 216

Entry 2:
A relaxed structure of ZnCrRhAu, computed with GGA-PBE.

Structure (POSCAR):
```
ZnCrRhAu
1.0
4.3977 0.0000 0.0000
2.1989 3.8085 0.0000
2.1989 1.2695 3.5907
Cr Au Rh Zn
1 1 1 1
Cartesian
4.3977 2.5390 1.7954
2.1989 1.2695 0.8977
6.5966 3.8085 2.6930
0.0000 0.0000 0.0000
```

## Properties
DFT formation energy   -5.0 kJ per mole of atoms
Space group   F-43m, No. 216

Entry 3:
A relaxed structure of CrRuAu, computed with GGA-PBE.

Structure (POSCAR):
```
CrRuAu
1.0
-2.5052 -0.7337 3.2384
1.4970 -1.8541 3.4093
0.4579 2.1722 3.5177
Cr Au Ru
1 1 1
Cartesian
-0.4127 -0.3117 7.6241
-0.2752 -0.2078 5.0827
0.0000 0.0000 0.0000
```

## Properties
Offset from the most stable computed form   353 meV/atom
DFT formation energy   51.7 kJ per mole of atoms
Space group   F-43m, No. 216